Record 1
DFT (PBE) results for crystalline CaCuRh3 at its relaxed geometry.

## Properties
As for the volume: 96.9 Å³/cell. The distance to the lowest polymorph of the same formula is 0.000 eV/f.u.

abc: 4.594 4.594 4.594
angles: 90.00 90.00 90.00
Element x y z (fractional)
1 Ca 0.000 0.000 0.000
2 Cu 0.500 0.500 0.500
3 Rh 0.000 0.500 0.500
4 Rh 0.500 0.000 0.500
5 Rh 0.500 0.500 0.000



Record 2
DFT (PBE) results for crystalline CaCu4Rh at its relaxed geometry.

## Properties
As for the volume: 87.8 Å³/cell.

abc: 4.988 4.988 4.988
angles: 60.00 60.00 60.00
Element x y z (fractional)
1 Ca 0.000 0.000 0.000
2 Cu 0.376 0.376 0.376
3 Cu 0.376 0.376 0.873
4 Cu 0.376 0.873 0.376
5 Cu 0.873 0.376 0.376
6 Rh 0.750 0.750 0.750



Record 3
DFT (PBE) results for crystalline CaCuRh3 at its relaxed geometry.

## Properties
As for the volume: 105.7 Å³/cell. The distance to the lowest polymorph of the same formula is 5.742 eV/f.u.

abc: 4.728 4.728 4.728
angles: 90.00 90.00 90.00
Element x y z (fractional)
1 Ca 0.000 0.000 0.000
2 Cu 0.500 0.500 0.500
3 Rh 0.000 0.000 0.500
4 Rh 0.000 0.500 0.000
5 Rh 0.500 0.000 0.000



Record 4
DFT (PBE) results for crystalline CaCuRh at its relaxed geometry.

## Properties
As for the volume: 55.6 Å³/cell. The distance to the lowest polymorph of the same formula is 0.654 eV/f.u.

abc: 5.413 5.413 5.413
angles: 143.56 143.56 52.49
Element x y z (fractional)
1 Ca 0.000 0.000 0.000
2 Cu 0.292 0.292 0.000
3 Rh 0.700 0.700 0.000



Record 5
DFT (PBE) results for crystalline Ca2Cu15Rh2 at its relaxed geometry.

## Properties
As for the volume: 269.0 Å³/cell.

abc: 6.498 6.498 6.498
angles: 83.18 83.18 83.18
Element x y z (fractional)
1 Ca 0.160 0.160 0.160
2 Ca 0.840 0.840 0.840
3 Cu 0.000 0.500 0.500
4 Cu 0.152 0.152 0.651
5 Cu 0.152 0.651 0.152
6 Cu 0.208 0.500 0.792
7 Cu 0.208 0.792 0.500
8 Cu 0.349 0.848 0.848
9 Cu 0.500 0.000 0.500
10 Cu 0.500 0.208 0.792
11 Cu 0.500 0.500 0.000
12 Cu 0.500 0.792 0.208
13 Cu 0.651 0.152 0.152
14 Cu 0.792 0.208 0.500
15 Cu 0.792 0.500 0.208
16 Cu 0.848 0.349 0.848
17 Cu 0.848 0.848 0.349
18 Rh 0.398 0.398 0.398
19 Rh 0.602 0.602 0.602



Record 6
DFT (PBE) results for crystalline CaCuRh at its relaxed geometry.

## Properties
As for the volume: 60.3 Å³/cell. The distance to the lowest polymorph of the same formula is 1.337 eV/f.u.

abc: 4.401 4.401 4.401
angles: 60.00 60.00 60.00
Element x y z (fractional)
1 Ca 0.000 0.000 0.000
2 Cu 0.250 0.250 0.250
3 Rh 0.500 0.500 0.500



Record 7
DFT (PBE) results for crystalline CaCu2Rh2 at its relaxed geometry.

## Properties
As for the volume: 89.2 Å³/cell. The distance to the lowest polymorph of the same formula is 0.194 eV/f.u.

abc: 5.706 5.706 5.706
angles: 135.75 135.75 64.36
Element x y z (fractional)
1 Ca 0.000 0.000 0.000
2 Cu 0.250 0.750 0.500
3 Cu 0.750 0.250 0.500
4 Rh 0.376 0.376 0.000
5 Rh 0.624 0.624 0.000



Record 8
DFT (PBE) results for crystalline CaCuRh at its relaxed geometry.

## Properties
As for the volume: 63.1 Å³/cell. The distance to the lowest polymorph of the same formula is 2.741 eV/f.u.

abc: 4.469 4.469 4.469
angles: 60.00 60.00 60.00
Element x y z (fractional)
1 Ca 0.000 0.000 0.000
2 Cu 0.250 0.250 0.250
3 Rh 0.750 0.750 0.750



Record 9
DFT (PBE) results for crystalline CaCuRh at its relaxed geometry.

## Properties
As for the volume: 59.8 Å³/cell. The distance to the lowest polymorph of the same formula is 0.593 eV/f.u.

abc: 4.200 4.200 3.913
angles: 90.00 90.00 120.00
Element x y z (fractional)
1 Ca 0.000 0.000 0.000
2 Cu 0.333 0.667 0.500
3 Rh 0.667 0.333 0.500



Record 10
DFT (PBE) results for crystalline CaCu2Rh2 at its relaxed geometry.

## Properties
As for the volume: 85.7 Å³/cell. The distance to the lowest polymorph of the same formula is 0.143 eV/f.u.

abc: 6.140 6.140 6.140
angles: 142.38 142.38 54.25
Element x y z (fractional)
1 Ca 0.000 0.000 0.000
2 Cu 0.393 0.393 0.000
3 Cu 0.607 0.607 0.000
4 Rh 0.250 0.750 0.500
5 Rh 0.750 0.250 0.500



Record 11
DFT (PBE) results for crystalline CaCuRh at its relaxed geometry.

## Properties
As for the volume: 56.5 Å³/cell. The distance to the lowest polymorph of the same formula is 1.943 eV/f.u.

abc: 3.195 3.195 6.386
angles: 90.00 90.00 120.00
Element x y z (fractional)
1 Ca 0.000 0.000 0.000
2 Cu 0.667 0.333 0.382
3 Rh 0.333 0.667 0.668



Record 12
DFT (PBE) results for crystalline CaCu2Rh2 at its relaxed geometry.

## Properties
As for the volume: 157.4 Å³/cell. The distance to the lowest polymorph of the same formula is 0.090 eV/f.u.

abc: 7.289 7.289 2.964
angles: 90.00 90.00 90.00
Element x y z (fractional)
1 Ca 0.000 0.000 0.000
2 Ca 0.500 0.500 0.000
3 Cu 0.132 0.368 0.000
4 Cu 0.368 0.868 0.000
5 Cu 0.632 0.132 0.000
6 Cu 0.868 0.632 0.000
7 Rh 0.160 0.660 0.500
8 Rh 0.340 0.160 0.500
9 Rh 0.660 0.840 0.500
10 Rh 0.840 0.340 0.500



One value per record, in order, for N(E_F): 5.36; 2.97; 17.53; 2.02; 5.77; 1.24; 3.30; 1.07; 1.89; 6.32; 2.68; 7.44 states/eV/f.u..
One value per record, in order, for calculated total energy: -25.48; -26.32; -19.74; -13.84; -81.89; -13.16; -24.87; -11.76; -13.90; -24.92; -12.55; -24.97 eV per formula unit.
One value per record, in order, for ΔH_f (0 K): 257.5; -56.4; 811.5; -38.0; -167.9; 27.9; 3.0; 163.3; -43.9; -1.9; 86.3; -7.1 kJ/mol of formula units.